CrPb2O5 after structural relaxation. Source: Alexandria, functional PBEsol.

Calculated values
Spin magnetization: 0.0 Bohr magnetons per cell
Fermi-level density of states: 0.000 states/eV/cell
SG: No. 12
E_tot: -56.80 eV per formula unit
Volume: 254.7 Å³ per cell

POSCAR file:
```
CrPb2O5
1.0
-2.1840 4.3427 2.8864
-5.2910 0.4799 -4.7254
-0.2643 -6.3957 3.8862
Cr O Pb
2 10 4
direct
0.1710 0.1610 0.3420
0.8290 0.8390 0.6580
0.2521 0.5000 0.0000
0.6174 0.7270 0.7053
0.0965 0.9102 0.1931
0.7479 0.5000 0.0000
0.9035 0.0898 0.8069
0.0878 0.7270 0.7053
0.9122 0.2730 0.2947
0.2971 0.2023 0.5942
0.3826 0.2730 0.2947
0.7029 0.7977 0.4058
0.8563 0.3898 0.7126
0.5177 0.7664 0.0353
0.1437 0.6102 0.2874
0.4823 0.2336 0.9647
```